This record from the Alexandria database describes Re4Os after structural relaxation. The functional is PBE.

Properties
As for the crystal system: tetragonal. As for the energy relative to the lowest polymorph listed for this composition: 0.935 eV/atom. As for the volume: 86.1 Å³ per cell. For the magnetic moment, the calculation gives 0.891 μB per cell. The value obtained for the energy of formation is 0.99 eV/atom.

Unit cell a=6.372 b=6.372 c=6.372 alpha=144.67 beta=144.67 gamma=50.83
Positions (direct):
Re 0.106 0.106 0.000
Re 0.250 0.750 0.500
Re 0.750 0.250 0.500
Re 0.894 0.894 0.000
Os 0.500 0.500 0.000

=====

This record from the Alexandria database describes NaTeOs3 after structural relaxation. The functional is PBE.

Properties
As for the crystal system: cubic. As for the energy relative to the lowest polymorph listed for this composition: 0.000 eV/atom. As for the volume: 116.0 Å³ per cell. For the magnetic moment, the calculation gives 2.424 μB per cell.

Unit cell a=4.877 b=4.877 c=4.877 alpha=90.00 beta=90.00 gamma=90.00
Positions (direct):
Na 0.000 0.000 0.000
Te 0.500 0.500 0.500
Os 0.000 0.500 0.500
Os 0.500 0.000 0.500
Os 0.500 0.500 0.000

=====

This record from the Alexandria database describes K2NaCdHg after structural relaxation. The functional is PBE.

Properties
As for the crystal system: tetragonal. As for the energy relative to the lowest polymorph listed for this composition: 0.104 eV/atom. As for the volume: 249.4 Å³ per cell. For the magnetic moment, the calculation gives 0.000 μB per cell. The value obtained for the energy of formation is 0.05 eV/atom.

Unit cell a=6.800 b=6.800 c=5.394 alpha=90.00 beta=90.00 gamma=90.00
Positions (direct):
K 0.000 0.500 0.000
K 0.500 0.000 0.000
Na 0.000 0.000 0.500
Cd 0.500 0.500 0.000
Hg 0.500 0.500 0.500

=====

This record from the Alexandria database describes La2GeIrC after structural relaxation. The functional is PBE.

Properties
As for the crystal system: tetragonal. As for the volume: 113.0 Å³ per cell. For the magnetic moment, the calculation gives 0.000 μB per cell. The value obtained for the energy of formation is -0.51 eV/atom.

Unit cell a=5.401 b=5.401 c=3.874 alpha=90.00 beta=90.00 gamma=90.00
Positions (direct):
La 0.000 0.500 0.000
La 0.500 0.000 0.000
Ge 0.000 0.000 0.500
Ir 0.500 0.500 0.500
C 0.500 0.500 0.000

=====

This record from the Alexandria database describes HoMg3Cd after structural relaxation. The functional is PBE.

Properties
As for the crystal system: trigonal. As for the energy relative to the lowest polymorph listed for this composition: 0.240 eV/atom. As for the volume: 133.4 Å³ per cell. For the magnetic moment, the calculation gives 0.000 μB per cell. The value obtained for the energy of formation is 0.13 eV/atom.

Unit cell a=5.121 b=5.121 c=5.121 alpha=93.65 beta=93.65 gamma=93.65
Positions (direct):
Ho 0.000 0.000 0.000
Mg 0.518 0.518 0.914
Mg 0.518 0.914 0.518
Mg 0.914 0.518 0.518
Cd 0.371 0.371 0.371

=====

This record from the Alexandria database describes CeErTm6 after structural relaxation. The functional is PBE.

Properties
As for the crystal system: triclinic. As for the energy relative to the lowest polymorph listed for this composition: 0.065 eV/atom. As for the volume: 246.1 Å³ per cell. For the magnetic moment, the calculation gives 1.727 μB per cell. The value obtained for the energy of formation is 0.23 eV/atom.

Unit cell a=6.408 b=6.681 c=6.784 alpha=118.84 beta=102.59 gamma=90.41
Positions (direct):
Ce 0.000 0.000 0.000
Er 0.500 0.000 0.000
Tm 0.231 0.904 0.478
Tm 0.249 0.448 0.999
Tm 0.267 0.428 0.520
Tm 0.733 0.572 0.480
Tm 0.751 0.552 0.001
Tm 0.769 0.096 0.522

=====

This record from the Alexandria database describes Tb6SmDyTm2 after structural relaxation. The functional is PBE.

Properties
As for the crystal system: monoclinic. As for the volume: 643.2 Å³ per cell. For the magnetic moment, the calculation gives 0.000 μB per cell. The value obtained for the energy of formation is 0.12 eV/atom.

Unit cell a=8.768 b=8.768 c=9.496 alpha=93.56 beta=93.56 gamma=117.45
Positions (direct):
Tb 0.016 0.564 0.183
Tb 0.120 0.754 0.556
Tb 0.246 0.880 0.944
Tb 0.292 0.511 0.381
Tb 0.436 0.984 0.317
Tb 0.489 0.708 0.119
Tb 0.511 0.292 0.881
Tb 0.564 0.016 0.683
Tb 0.708 0.489 0.619
Tb 0.754 0.120 0.056
Tb 0.880 0.246 0.444
Tb 0.984 0.436 0.817
Sm 0.027 0.973 0.250
Sm 0.973 0.027 0.750
Dy 0.410 0.590 0.750
Dy 0.590 0.410 0.250
Tm 0.200 0.303 0.047
Tm 0.303 0.200 0.547
Tm 0.697 0.800 0.453
Tm 0.800 0.697 0.953

=====

This record from the Alexandria database describes CePuN2 after structural relaxation. The functional is PBE.

Properties
As for the crystal system: trigonal. As for the volume: 63.2 Å³ per cell. For the magnetic moment, the calculation gives 5.992 μB per cell. The total energy is -41.61 eV for the cell shown.

Unit cell a=6.299 b=6.299 c=6.299 alpha=32.24 beta=32.24 gamma=32.24
Positions (direct):
Ce 0.000 0.000 0.000
Pu 0.832 0.832 0.832
N 0.411 0.411 0.411
N 0.579 0.579 0.579

=====

This record from the Alexandria database describes Y2ScNbPb after structural relaxation. The functional is PBE.

Properties
As for the crystal system: tetragonal. As for the volume: 156.5 Å³ per cell. For the magnetic moment, the calculation gives 3.208 μB per cell. The value obtained for the energy of formation is 1.11 eV/atom.

Unit cell a=5.383 b=5.383 c=5.400 alpha=90.00 beta=90.00 gamma=90.00
Positions (direct):
Y 0.000 0.500 0.000
Y 0.500 0.000 0.000
Sc 0.000 0.000 0.000
Nb 0.500 0.500 0.500
Pb 0.000 0.000 0.500

=====

This record from the Alexandria database describes CrTe2H after structural relaxation. The functional is PBE.

Properties
As for the crystal system: trigonal. As for the energy relative to the lowest polymorph listed for this composition: 0.874 eV/atom. As for the volume: 83.7 Å³ per cell. For the magnetic moment, the calculation gives 3.931 μB per cell.

Unit cell a=8.765 b=8.765 c=8.765 alpha=22.11 beta=22.11 gamma=22.11
Positions (direct):
Cr 0.000 0.000 0.000
Te 0.103 0.103 0.103
Te 0.897 0.897 0.897
H 0.500 0.500 0.500

=====

This record from the Alexandria database describes AlSbH after structural relaxation. The functional is PBE.

Properties
As for the crystal system: triclinic. As for the energy relative to the lowest polymorph listed for this composition: 0.200 eV/atom. As for the volume: 142.4 Å³ per cell. For the magnetic moment, the calculation gives 0.000 μB per cell.

Unit cell a=4.352 b=4.797 c=7.786 alpha=79.31 beta=88.61 gamma=63.33
Positions (direct):
Al 0.137 0.232 0.450
Al 0.863 0.768 0.550
Sb 0.367 0.743 0.767
Sb 0.633 0.257 0.233
H 0.192 0.093 0.850
H 0.808 0.907 0.150

=====

This record from the Alexandria database describes Tm8FeCu2 after structural relaxation. The functional is PBE.

Properties
As for the crystal system: monoclinic. As for the energy relative to the lowest polymorph listed for this composition: 0.046 eV/atom. As for the volume: 273.2 Å³ per cell. For the magnetic moment, the calculation gives 0.000 μB per cell. The value obtained for the energy of formation is -0.05 eV/atom.

Unit cell a=9.030 b=9.030 c=5.451 alpha=100.15 beta=100.15 gamma=135.89
Positions (direct):
Tm 0.000 0.000 0.000
Tm 0.050 0.453 0.096
Tm 0.079 0.846 0.463
Tm 0.423 0.656 0.729
Tm 0.453 0.050 0.096
Tm 0.503 0.503 0.193
Tm 0.656 0.423 0.729
Tm 0.846 0.079 0.463
Fe 0.251 0.251 0.598
Cu 0.508 0.994 0.596
Cu 0.994 0.508 0.596

=====

This record from the Alexandria database describes ErBi2F8 after structural relaxation. The functional is PBE.

Properties
As for the crystal system: monoclinic. As for the volume: 158.3 Å³ per cell. For the magnetic moment, the calculation gives 0.000 μB per cell. The total energy is -58.60 eV for the cell shown.

Unit cell a=8.176 b=8.176 c=5.333 alpha=104.60 beta=104.60 gamma=27.38
Positions (direct):
Er 0.000 0.000 0.000
Bi 0.334 0.334 0.333
Bi 0.666 0.666 0.667
F 0.095 0.095 0.396
F 0.133 0.133 0.916
F 0.266 0.266 0.682
F 0.475 0.475 0.201
F 0.525 0.525 0.799
F 0.734 0.734 0.318
F 0.867 0.867 0.084
F 0.905 0.905 0.604

=====

This record from the Alexandria database describes Nd2U2Ni15 after structural relaxation. The functional is PBE.

Properties
As for the crystal system: trigonal. As for the volume: 266.5 Å³ per cell. For the magnetic moment, the calculation gives 2.206 μB per cell. The value obtained for the energy of formation is -0.23 eV/atom.

Unit cell a=6.496 b=6.496 c=6.496 alpha=81.78 beta=81.78 gamma=81.78
Positions (direct):
Nd 0.144 0.144 0.144
Nd 0.856 0.856 0.856
U 0.402 0.402 0.402
U 0.598 0.598 0.598
Ni 0.000 0.500 0.500
Ni 0.159 0.159 0.658
Ni 0.159 0.658 0.159
Ni 0.191 0.500 0.809
Ni 0.191 0.809 0.500
Ni 0.342 0.841 0.841
Ni 0.500 0.000 0.500
Ni 0.500 0.191 0.809
Ni 0.500 0.500 0.000
Ni 0.500 0.809 0.191
Ni 0.658 0.159 0.159
Ni 0.809 0.191 0.500
Ni 0.809 0.500 0.191
Ni 0.841 0.342 0.841
Ni 0.841 0.841 0.342

=====

This record from the Alexandria database describes CoSe2Cl after structural relaxation. The functional is PBE.

Properties
As for the crystal system: orthorhombic. As for the energy relative to the lowest polymorph listed for this composition: 0.442 eV/atom. As for the volume: 86.5 Å³ per cell. For the magnetic moment, the calculation gives 0.717 μB per cell.

Unit cell a=2.957 b=2.957 c=10.265 alpha=90.00 beta=90.00 gamma=105.45
Positions (direct):
Co 0.000 0.000 0.000
Se 0.000 0.000 0.455
Se 0.500 0.500 0.145
Cl 0.500 0.500 0.848

=====

This record from the Alexandria database describes Pm5Si3Pd3 after structural relaxation. The functional is PBE.

Properties
As for the crystal system: hexagonal. As for the volume: 290.1 Å³ per cell. For the magnetic moment, the calculation gives 0.969 μB per cell. The total energy is -59.32 eV for the cell shown.

Unit cell a=9.495 b=9.495 c=3.716 alpha=90.00 beta=90.00 gamma=120.00
Positions (direct):
Pm 0.000 0.751 0.000
Pm 0.249 0.249 0.000
Pm 0.333 0.667 0.000
Pm 0.667 0.333 0.000
Pm 0.751 0.000 0.000
Si 0.000 0.418 0.000
Si 0.418 0.000 0.000
Si 0.582 0.582 0.000
Pd 0.000 0.260 0.500
Pd 0.260 0.000 0.500
Pd 0.740 0.740 0.500

=====

This record from the Alexandria database describes Sr2TaO4 after structural relaxation. The functional is PBE.

Properties
As for the crystal system: monoclinic. As for the volume: 263.3 Å³ per cell. For the magnetic moment, the calculation gives 0.758 μB per cell. The total energy is -106.62 eV for the cell shown.

Unit cell a=6.332 b=6.365 c=6.929 alpha=90.00 beta=109.44 gamma=90.00
Positions (direct):
Sr 0.147 0.250 0.014
Sr 0.260 0.250 0.555
Sr 0.740 0.750 0.445
Sr 0.853 0.750 0.986
Ta 0.301 0.750 0.810
Ta 0.699 0.250 0.190
O 0.059 0.537 0.756
O 0.059 0.963 0.756
O 0.483 0.750 0.082
O 0.499 0.250 0.339
O 0.501 0.750 0.661
O 0.517 0.250 0.918
O 0.941 0.037 0.244
O 0.941 0.463 0.244

=====

This record from the Alexandria database describes CePrThPb after structural relaxation. The functional is PBE.

Properties
As for the crystal system: cubic. As for the volume: 123.1 Å³ per cell. For the magnetic moment, the calculation gives 1.382 μB per cell. The value obtained for the energy of formation is -0.03 eV/atom.

Unit cell a=5.584 b=5.584 c=5.584 alpha=60.00 beta=60.00 gamma=60.00
Positions (direct):
Ce 0.000 0.000 0.000
Pr 0.500 0.500 0.500
Th 0.250 0.250 0.250
Pb 0.750 0.750 0.750

=====

This record from the Alexandria database describes CaEr2Au after structural relaxation. The functional is PBE.

Properties
As for the crystal system: tetragonal. As for the energy relative to the lowest polymorph listed for this composition: 0.000 eV/atom. As for the volume: 119.6 Å³ per cell. For the magnetic moment, the calculation gives 0.000 μB per cell. The value obtained for the energy of formation is -0.36 eV/atom.

Unit cell a=3.594 b=3.594 c=9.258 alpha=90.00 beta=90.00 gamma=90.00
Positions (direct):
Ca 0.000 0.000 0.000
Er 0.500 0.500 0.316
Er 0.500 0.500 0.684
Au 0.000 0.000 0.500

=====

This record from the Alexandria database describes ZnGe2H after structural relaxation. The functional is PBE.

Properties
As for the crystal system: tetragonal. As for the energy relative to the lowest polymorph listed for this composition: 0.000 eV/atom. As for the volume: 132.9 Å³ per cell. For the magnetic moment, the calculation gives 0.000 μB per cell.

Unit cell a=7.544 b=7.544 c=7.544 alpha=146.11 beta=146.11 gamma=48.68
Positions (direct):
Zn 0.000 0.000 0.000
Zn 0.750 0.250 0.500
Ge 0.215 0.625 0.090
Ge 0.375 0.465 0.590
Ge 0.535 0.125 0.910
Ge 0.875 0.785 0.410
H 0.250 0.750 0.500
H 0.500 0.500 0.000